1.
DFT (GGA-PBE) results for a relaxed structure of Nd4ErTl3.

space-group type: Immm (71)
energy relative to the elements: -0.162 eV per atom
DOS at the Fermi energy: 8.984 states/eV/f.u.
relative energy among the computed polymorphs: 77 meV per atom

Cell lengths 3.6826, 9.1060, 9.0678 Å; angles 120.13, 101.72, 90.00 degrees
Sites, in units of the cell vectors:
Nd1 0.3633 0.5633 0.7266
Nd2 0.6367 0.4367 0.2734
Nd3 0.6366 0.8363 0.2733
Nd4 0.3634 0.1637 0.7267
Er1 0.5000 0.0000 0.0000
Tl1 0.0000 0.5000 0.0000
Tl2 0.1814 0.1813 0.3629
Tl3 0.8186 0.8187 0.6371


2.
DFT (GGA-PBE) results for a relaxed structure of Tb4GeTe2Br.

space-group type: P2/m (10)
DOS at the Fermi energy: 3.956 states/eV/f.u.
formation energy without anion corrections: -1.20 eV per atom

Cell lengths 4.2611, 7.4870, 7.3907 Å; angles 70.89, 90.00, 90.00 degrees
Sites, in units of the cell vectors:
Tb1 0.0000 0.7319 0.7335
Tb2 0.0000 0.2681 0.2665
Tb3 0.5000 0.7211 0.2775
Tb4 0.5000 0.2789 0.7225
Ge1 0.0000 0.5000 0.5000
Te1 0.0000 0.0000 0.0000
Te2 0.5000 0.0000 0.5000
Br1 0.5000 0.5000 0.0000


3.
DFT (GGA-PBE) results for a relaxed structure of LiLaCoRh2.

space-group type: P4/mmm (123)
energy relative to the elements: 0.078 eV per atom
DOS at the Fermi energy: 5.988 states/eV/f.u.

Cell lengths 4.4307, 4.2401, 4.4307 Å; angles 90.00, 90.00, 90.00 degrees
Sites, in units of the cell vectors:
Co1 0.0000 0.5000 0.0000
Li1 0.0000 0.0000 0.0000
Rh1 0.0000 0.0000 0.5000
Rh2 0.5000 0.0000 0.0000
La1 0.5000 0.5000 0.5000


4.
DFT (GGA-PBE) results for a relaxed structure of KInH.

space-group type: Pmma (51)
DOS at the Fermi energy: 0.996 states/eV/f.u.
relative energy among the computed polymorphs: 7 meV per atom

Cell lengths 6.9251, 3.5685, 5.6967 Å; angles 90.00, 90.00, 90.00 degrees
Sites, in units of the cell vectors:
K1 0.0000 0.0000 0.5000
K2 0.5000 0.0000 0.5000
In1 0.2500 0.5000 0.0047
In2 0.7500 0.5000 0.9953
H1 0.2500 0.5000 0.6648
H2 0.7500 0.5000 0.3352


5.
DFT (GGA-PBE) results for a relaxed structure of SmTcPbO6.

space-group type: P312 (149)
DOS at the Fermi energy: 0.014 states/eV/f.u.
formation energy without anion corrections: -1.78 eV per atom

Cell lengths 5.6760, 5.6760, 5.0823 Å; angles 90.00, 89.99, 59.98 degrees
Sites, in units of the cell vectors:
Sm1 0.6666 0.6666 0.4999
Tc1 0.3333 0.3333 0.5000
Pb1 0.9998 0.9998 0.0000
O1 0.0511 0.3438 0.2858
O2 0.3438 0.0511 0.7142
O3 0.6051 0.3439 0.7142
O4 0.0509 0.6053 0.7142
O5 0.3438 0.6052 0.2858
O6 0.6053 0.0510 0.2858


6.
DFT (GGA-PBE) results for a relaxed structure of Tb4PmTe5.

space-group type: C2/m (12)
DOS at the Fermi energy: 5.211 states/eV/f.u.
formation energy without anion corrections: -1.33 eV per atom

Cell lengths 4.3922, 7.6084, 9.8084 Å; angles 75.06, 77.06, 73.22 degrees
Sites, in units of the cell vectors:
Tb1 0.5986 0.1987 0.6042
Tb2 0.2035 0.3927 0.2003
Tb3 0.7965 0.6073 0.7997
Tb4 0.4014 0.8013 0.3958
Pm1 0.0000 0.0000 0.0000
Te1 0.2024 0.9007 0.6945
Te2 0.7976 0.0993 0.3055
Te3 0.3964 0.3099 0.8974
Te4 0.0000 0.5000 0.5000
Te5 0.6036 0.6901 0.1026


7.
DFT (GGA-PBE) results for a relaxed structure of TaSeIBr2.

space-group type: P4/mmm (123)
DOS at the Fermi energy: 4.827 states/eV/f.u.
formation energy without anion corrections: -0.14 eV per atom
relative energy among the computed polymorphs: 0 meV per atom

Cell lengths 5.1900, 5.1900, 5.0842 Å; angles 90.00, 90.00, 90.00 degrees
Sites, in units of the cell vectors:
I1 0.5000 0.5000 0.5000
Se1 0.0000 0.0000 0.5000
Br1 0.0000 0.5000 0.0000
Br2 0.5000 0.0000 0.0000
Ta1 0.0000 0.0000 0.0000


8.
DFT (GGA-PBE) results for a relaxed structure of AcPmHo3.

space-group type: Cmc2_1 (36)
energy relative to the elements: 0.110 eV per atom
DOS at the Fermi energy: 7.527 states/eV/f.u.
relative energy among the computed polymorphs: 0 meV per atom

Cell lengths 5.4537, 7.1251, 9.2567 Å; angles 90.00, 107.13, 90.00 degrees
Sites, in units of the cell vectors:
Ac1 0.3020 0.6574 0.6040
Ac2 0.6980 0.1574 0.3960
Pm1 0.9002 0.9146 0.8005
Pm2 0.0998 0.4146 0.1995
Ho1 0.8991 0.4028 0.7981
Ho2 0.1009 0.9028 0.2019
Ho3 0.4996 0.1612 0.9992
Ho4 0.5004 0.6612 0.0008
Ho5 0.6879 0.6580 0.3758
Ho6 0.3121 0.1580 0.6242


9.
DFT (GGA-PBE) results for a relaxed structure of Tb3ScRh4.

space-group type: P4/mmm (123)
energy relative to the elements: -0.863 eV per atom
DOS at the Fermi energy: 3.693 states/eV/f.u.

Cell lengths 3.3300, 3.3300, 14.0422 Å; angles 90.00, 90.00, 90.00 degrees
Sites, in units of the cell vectors:
Sc1 0.5000 0.5000 0.0000
Rh1 0.0000 0.0000 0.8876
Rh2 0.0000 0.0000 0.1124
Rh3 0.0000 0.0000 0.3712
Rh4 0.0000 0.0000 0.6288
Tb1 0.5000 0.5000 0.2432
Tb2 0.5000 0.5000 0.5000
Tb3 0.5000 0.5000 0.7568


10.
DFT (GGA-PBE) results for a relaxed structure of Ho4Tl2CdGa.

space-group type: R-3m (166)
energy relative to the elements: -0.382 eV per atom
DOS at the Fermi energy: 6.419 states/eV/f.u.

Cell lengths 5.2606, 5.2606, 9.0609 Å; angles 73.12, 73.12, 60.00 degrees
Sites, in units of the cell vectors:
Ho1 0.3806 0.3806 0.8581
Ho2 0.8707 0.8707 0.3879
Ho3 0.1293 0.1293 0.6121
Ho4 0.6194 0.6194 0.1419
Tl1 0.7439 0.7439 0.7682
Tl2 0.2561 0.2561 0.2318
Cd1 0.0000 0.0000 0.0000
Ga1 0.5000 0.5000 0.5000


11.
DFT (GGA-PBE) results for a relaxed structure of LaHo2ScHg4.

space-group type: R-3m (166)
energy relative to the elements: -0.442 eV per atom
DOS at the Fermi energy: 8.317 states/eV/f.u.

Cell lengths 5.2012, 5.2012, 9.3227 Å; angles 73.80, 73.80, 60.00 degrees
Sites, in units of the cell vectors:
La1 0.0000 0.0000 0.0000
Ho1 0.7543 0.7543 0.7372
Ho2 0.2457 0.2457 0.2628
Sc1 0.5000 0.5000 0.5000
Hg1 0.3844 0.3844 0.8469
Hg2 0.8714 0.8714 0.3858
Hg3 0.1286 0.1286 0.6142
Hg4 0.6156 0.6156 0.1531


12.
DFT (GGA-PBE) results for a relaxed structure of RbHO.

space-group type: Pnma (62)
total energy: -52.229 eV for the cell shown
DOS at the Fermi energy: 0.000 states/eV/f.u.

Cell lengths 4.0587, 6.9110, 8.7833 Å; angles 90.00, 90.00, 90.00 degrees
Sites, in units of the cell vectors:
Rb1 0.7500 0.9456 0.8219
Rb2 0.2500 0.5544 0.3219
Rb3 0.7500 0.4456 0.6781
Rb4 0.2500 0.0544 0.1781
H1 0.2500 0.8546 0.5736
H2 0.7500 0.6454 0.0736
H3 0.2500 0.3546 0.9264
H4 0.7500 0.1454 0.4264
O1 0.7500 0.2675 0.3710
O2 0.2500 0.2325 0.8710
O3 0.7500 0.7675 0.1290
O4 0.2500 0.7325 0.6290


What did the third record say?
DFT (GGA-PBE) results for a relaxed structure of LiLaCoRh2.

space-group type: P4/mmm (123)
energy relative to the elements: 0.078 eV per atom
DOS at the Fermi energy: 5.988 states/eV/f.u.

Cell lengths 4.4307, 4.2401, 4.4307 Å; angles 90.00, 90.00, 90.00 degrees
Sites, in units of the cell vectors:
Co1 0.0000 0.5000 0.0000
Li1 0.0000 0.0000 0.0000
Rh1 0.0000 0.0000 0.5000
Rh2 0.5000 0.0000 0.0000
La1 0.5000 0.5000 0.5000